Entry 1:
DFT (PBE) results for crystalline Ce3PbSe6 at its relaxed geometry.

Cell lengths 7.407, 9.030, 9.030 Å; angles 102.81, 90.00, 90.00 degrees
Last column: magnetic moment on the atom in μB.
Element x y z (fractional)
Pb: 0.003 0.180 0.820  0.00
Se: 0.178 0.695 0.631  -0.03
Ce: 0.383 0.401 0.599  0.64
Ce: 0.979 0.082 0.287  0.73
Ce: 0.979 0.713 0.918  0.73
Se: 0.678 0.631 0.695  -0.03
Se: 0.178 0.369 0.305  -0.03
Pb: 0.503 0.820 0.180  0.00
Se: 0.719 0.908 0.451  -0.03
Ce: 0.479 0.287 0.082  0.73
Se: 0.719 0.549 0.092  -0.03
Ce: 0.883 0.599 0.401  0.64
Se: 0.241 0.009 0.991  -0.02
Se: 0.606 0.230 0.770  -0.04
Se: 0.741 0.991 0.009  -0.02
Se: 0.219 0.092 0.549  -0.03
Se: 0.678 0.305 0.369  -0.03
Se: 0.106 0.770 0.230  -0.04
Ce: 0.479 0.918 0.713  0.73
Se: 0.219 0.451 0.908  -0.03

E: -5.742 eV/atom
volume: 29.45 Å³/atom
space group: Cmc2_1, No. 36
raw formation energy: -1.50 eV per atom
distance to the lowest polymorph of the same formula: 4 meV/atom
spin magnetization: 2.02 μB per formula unit

Entry 2:
DFT (PBE) results for crystalline YMg5Cd4 at its relaxed geometry.

Cell lengths 4.943, 6.576, 7.649 Å; angles 103.51, 108.85, 90.00 degrees
Element x y z (fractional)
Cd: 0.099 0.818 0.198
Mg: 0.500 0.500 0.000
Mg: 0.102 0.335 0.204
Mg: 0.288 0.160 0.576
Mg: 0.712 0.840 0.424
Cd: 0.292 0.659 0.583
Y: 0.500 0.000 0.000
Cd: 0.708 0.341 0.417
Cd: 0.901 0.182 0.802
Mg: 0.898 0.665 0.796

E: -1.974 eV/atom
formation enthalpy at 0 K: -163.8 meV/atom
volume: 22.80 Å³/atom
space group: C2/m, No. 12
spin magnetization: 0.00 μB per formula unit

Entry 3:
DFT (PBE) results for crystalline Nd2Ho3TmBi6 at its relaxed geometry.

Cell lengths 4.509, 9.013, 10.074 Å; angles 102.88, 102.93, 90.00 degrees
Element x y z (fractional)
Bi: 0.335 0.925 0.669
Ho: 0.832 0.166 0.663
Bi: 0.665 0.075 0.331
Bi: 0.997 0.247 0.993
Nd: 0.834 0.668 0.669
Ho: 0.500 0.500 0.000
Bi: 0.335 0.411 0.671
Bi: 0.665 0.589 0.329
Bi: 0.003 0.753 0.007
Nd: 0.166 0.332 0.331
Ho: 0.168 0.834 0.337
Tm: 0.500 0.000 0.000

E: -5.112 eV/atom
formation enthalpy at 0 K: -859.6 meV/atom
volume: 32.37 Å³/atom
space group: C2/m, No. 12
spin magnetization: 0.00 μB per formula unit

Entry 4:
DFT (PBE) results for crystalline Al5W at its relaxed geometry.

Cell lengths 4.791, 4.791, 4.728 Å; angles 90.00, 90.00, 120.00 degrees
Element x y z (fractional)
W: 0.000 0.000 0.500
Al: 0.667 0.333 0.500
Al: 0.333 0.667 0.500
Al: 0.681 0.000 0.000
Al: 0.319 0.319 0.000
Al: 0.000 0.681 0.000

E: -5.325 eV/atom
formation enthalpy at 0 K: -47.4 meV/atom
volume: 15.66 Å³/atom
space group: P-62m, No. 189
spin magnetization: 0.00 μB per formula unit

Entry 5:
DFT (PBE) results for crystalline ErCdGe4 at its relaxed geometry.

Cell lengths 5.599, 5.599, 5.599 Å; angles 60.00, 60.00, 60.00 degrees
Element x y z (fractional)
Ge: 0.625 0.625 0.625
Ge: 0.124 0.625 0.625
Cd: 0.250 0.250 0.250
Er: 0.000 0.000 0.000
Ge: 0.625 0.625 0.124
Ge: 0.625 0.124 0.625

E: -4.118 eV/atom
formation enthalpy at 0 K: -126.3 meV/atom
volume: 20.69 Å³/atom
space group: F-43m, No. 216
spin magnetization: 0.00 μB per formula unit

Entry 6:
DFT (PBE) results for crystalline PrVNiP2 at its relaxed geometry.

Cell lengths 3.870, 3.870, 6.285 Å; angles 107.93, 107.93, 90.00 degrees
Last column: magnetic moment on the atom in μB.
Element x y z (fractional)
Pr: 0.000 0.000 0.000  0.10
P: 0.363 0.363 0.726  -0.04
P: 0.637 0.637 0.274  -0.04
Ni: 0.250 0.750 0.500  0.01
V: 0.750 0.250 0.500  1.09

E: -7.034 eV/atom
formation enthalpy at 0 K: -934.6 meV/atom
volume: 16.94 Å³/atom
space group: I-4m2, No. 119
spin magnetization: 1.40 μB per formula unit

Entry 7:
DFT (PBE) results for crystalline CrP at its relaxed geometry.

Cell lengths 4.269, 5.110, 2.932 Å; angles 73.33, 69.91, 50.93 degrees
Element x y z (fractional)
P: 0.536 0.468 0.498
Cr: 0.876 0.600 0.762
P: 0.381 0.115 0.252
Cr: 0.041 0.983 0.988

E: -7.877 eV/atom
formation enthalpy at 0 K: -360.3 meV/atom
volume: 11.61 Å³/atom
space group: C2/m, No. 12
spin magnetization: 0.00 μB per formula unit

Entry 8:
DFT (PBE) results for crystalline Th6Co2C3S at its relaxed geometry.

Cell lengths 3.823, 7.871, 8.862 Å; angles 107.66, 102.46, 90.00 degrees
Element x y z (fractional)
C: 0.159 0.852 0.319
Co: 0.195 0.392 0.391
Co: 0.805 0.608 0.609
Th: 0.654 0.609 0.309
Th: 0.679 0.095 0.358
Th: 0.999 0.268 0.998
Th: 0.321 0.905 0.642
Th: 0.346 0.391 0.691
Th: 0.001 0.732 0.002
C: 0.500 0.500 0.000
S: 0.500 0.000 0.000
C: 0.841 0.148 0.681

E: -8.058 eV/atom
volume: 20.63 Å³/atom
space group: C2/m, No. 12
raw formation energy: -0.51 eV per atom
spin magnetization: 0.00 μB per formula unit